Entry 1:
## Ho2ZnGa3Pt4 (GGA-PBE)

Data for an optimized crystal structure of Ho2ZnGa3Pt4.

Unit cell a=4.0388 b=4.0388 c=11.3436 alpha=90.00 beta=90.00 gamma=90.00
Closest atoms and distances in Å follow each position.
Fractional coordinates of all 10 atoms:
Ho1 0.0000 0.5000 0.2472  4 Pt 3.07, 4 Ga 3.16
Ho2 0.5000 0.0000 0.7528  4 Pt 3.07, 4 Ga 3.16
Zn1 0.5000 0.5000 0.0000  4 Pt 2.63, 4 Ga 2.86
Ga1 0.0000 0.0000 0.0000  4 Pt 2.63, 4 Zn 2.86
Ga2 0.0000 0.5000 0.6341  5 Pt 2.47-2.53
Ga3 0.5000 0.0000 0.3659  5 Pt 2.47-2.53
Pt1 0.0000 0.0000 0.5000  4 Ga 2.53
Pt2 0.0000 0.5000 0.8519  3 Ga 2.47-2.63, 2 Zn 2.63
Pt3 0.5000 0.0000 0.1481  3 Ga 2.47-2.63, 2 Zn 2.63
Pt4 0.5000 0.5000 0.5000  4 Ga 2.53

Values from the calculation:
Its crystal system is tetragonal. Its calculated total energy is -52.83 eV per cell. Its calculated density is 12.427 Mg/m³. As for the total moment: 0.00 μB/cell.

Entry 2:
## AcCdAs2 (GGA-PBE)

Data for an optimized crystal structure of AcCdAs2.

Unit cell a=4.9322 b=4.9322 c=4.1651 alpha=90.00 beta=90.00 gamma=90.00
Closest atoms and distances in Å follow each position.
Fractional coordinates of all 4 atoms:
Ac1 0.0000 0.0000 0.0000  8 As 3.23, 4 Cd 3.49
Cd1 0.5000 0.5000 0.0000  8 As 3.23, 4 Ac 3.49
As1 0.0000 0.5000 0.5000  4 Cd 3.23, 4 Ac 3.23, 4 As 3.49
As2 0.5000 0.0000 0.5000  4 Cd 3.23, 4 Ac 3.23, 4 As 3.49

Values from the calculation:
Its crystal system is tetragonal. Its calculated total energy is -16.71 eV per cell. Its calculated density is 8.018 Mg/m³. As for the total moment: 0.00 μB/cell.

Entry 3:
## Na2CaHgP (GGA-PBE)

Data for an optimized crystal structure of Na2CaHgP.

Unit cell a=5.4033 b=5.4033 c=5.5198 alpha=90.00 beta=90.00 gamma=90.00
Closest atoms and distances in Å follow each position.
Fractional coordinates of all 5 atoms:
Na1 0.0000 0.5000 0.0000  2 P 2.70
Na2 0.5000 0.0000 0.0000  2 P 2.70
Ca1 0.0000 0.0000 0.5000  2 P 2.76
Hg1 0.5000 0.5000 0.5000  4 Ca 3.82, 8 Na 3.86
P1 0.0000 0.0000 0.0000  4 Na 2.70, 2 Ca 2.76

Values from the calculation:
Its crystal system is tetragonal. Its calculated total energy is -12.14 eV per cell. Its calculated density is 3.273 Mg/m³. As for the total moment: 0.00 μB/cell.

Entry 4:
## V6Ni12Pt (GGA-PBE)

Data for an optimized crystal structure of V6Ni12Pt.

Unit cell a=6.7589 b=6.7589 c=6.7589 alpha=108.28 beta=108.28 gamma=108.28
Closest atoms and distances in Å follow each position.
Fractional coordinates of all 19 atoms:
V1 0.2449 0.6923 0.6923  6 Ni 2.25-2.44
V2 0.3077 0.3077 0.7551  6 Ni 2.25-2.44
V3 0.3077 0.7551 0.3077  6 Ni 2.25-2.44
V4 0.6923 0.2449 0.6923  6 Ni 2.25-2.44
V5 0.6923 0.6923 0.2449  6 Ni 2.25-2.44
V6 0.7551 0.3077 0.3077  6 Ni 2.25-2.44
Ni1 0.1096 0.5000 0.8904  4 V 2.33-2.42, 1 Ni 2.40
Ni2 0.1096 0.8904 0.5000  4 V 2.33-2.42, 1 Ni 2.40
Ni3 0.1526 0.3742 0.3742  2 V 2.25-2.44, 2 Ni 2.43
Ni4 0.3742 0.1526 0.3742  2 V 2.25-2.44, 2 Ni 2.43
Ni5 0.3742 0.3742 0.1526  2 V 2.25-2.44, 2 Ni 2.43
Ni6 0.5000 0.1096 0.8904  4 V 2.33-2.42, 1 Ni 2.40
Ni7 0.5000 0.8904 0.1096  4 V 2.33-2.42, 1 Ni 2.40
Ni8 0.6258 0.6258 0.8474  2 V 2.25-2.44, 2 Ni 2.43
Ni9 0.6258 0.8474 0.6258  2 V 2.25-2.44, 2 Ni 2.43
Ni10 0.8474 0.6258 0.6258  2 V 2.25-2.44, 2 Ni 2.43
Ni11 0.8904 0.1096 0.5000  4 V 2.33-2.42, 1 Ni 2.40
Ni12 0.8904 0.5000 0.1096  4 V 2.33-2.42, 1 Ni 2.40
Pt1 0.0000 0.0000 0.0000  6 Ni 2.56

Values from the calculation:
Its crystal system is trigonal. Its calculated total energy is -126.79 eV per cell. Its calculated density is 8.080 Mg/m³. As for the total moment: 0.00 μB/cell.

Entry 5:
## MgMnGaSiS (GGA-PBE)

Data for an optimized crystal structure of MgMnGaSiS.

Unit cell a=5.3347 b=5.3347 c=5.6115 alpha=96.63 beta=96.63 gamma=31.69
Closest atoms and distances in Å follow each position.
Fractional coordinates of all 5 atoms:
Mg1 0.0000 0.0000 0.0000  3 S 2.67-2.90, 2 Si 2.71-2.96, 2 Mn 2.83, 2 Mg 2.91
Mn1 0.6827 0.6827 0.7615  2 S 2.26, 2 Si 2.47
Ga1 0.3183 0.3183 0.4878  1 S 2.55, 2 Mn 2.63, 3 Si 2.71-2.85
Si1 0.0408 0.0408 0.4863  2 Mn 2.47, 2 Ga 2.71, 1 Mg 2.71
S1 0.2842 0.2842 0.0294  2 Mn 2.26

Values from the calculation:
Its crystal system is monoclinic. As for the formation energy without anion corrections: -0.15 eV per atom. Its calculated total energy is -24.07 eV per cell. Its calculated density is 4.170 Mg/m³. As for the total moment: 1.78 μB/cell.

Entry 6:
## V4Ga5H2 (GGA-PBE)

Data for an optimized crystal structure of V4Ga5H2.

Unit cell a=8.2242 b=8.2242 c=8.2242 alpha=160.74 beta=128.74 gamma=55.27
Closest atoms and distances in Å follow each position.
Fractional coordinates of all 11 atoms:
V1 0.1672 0.1672 0.0000  1 H 1.72
V2 0.1750 0.5000 0.6750  4 H 1.99
V3 0.8250 0.5000 0.3250  4 H 1.99
V4 0.8328 0.8328 0.0000  1 H 1.72
Ga1 0.1476 0.3289 0.8187  5 Ga 2.58-2.85, 4 V 2.65-2.69
Ga2 0.4898 0.6711 0.8187  5 Ga 2.58-2.85, 4 V 2.65-2.69
Ga3 0.5000 0.0000 0.5000  4 V 2.69, 2 Ga 2.75
Ga4 0.5102 0.3289 0.1813  5 Ga 2.58-2.85, 4 V 2.65-2.69
Ga5 0.8524 0.6711 0.1813  5 Ga 2.58-2.85, 4 V 2.65-2.69
H1 0.0494 0.0494 0.0000  1 H 1.44
H2 0.9506 0.9506 0.0000  1 H 1.44

Values from the calculation:
Its crystal system is orthorhombic. Its calculated total energy is -58.18 eV per cell. Its calculated density is 6.454 Mg/m³. As for the total moment: 2.18 μB/cell.